[1]
Density functional theory data (GGA-PBE) for a relaxed structure of Ca2Al3Pd4.

Lattice parameters (Å, degrees): 5.730 7.551 8.160 90.00 110.56 90.00
Fractional positions:
Ca (0.106, 0.588, 0.212)
Ca (0.894, 0.412, 0.788)
Ca (0.394, 0.088, 0.788)
Ca (0.606, 0.912, 0.212)
Al (0.000, 0.000, 0.000)
Al (0.500, 0.500, 0.000)
Al (0.521, 0.750, 0.542)
Al (0.979, 0.250, 0.458)
Al (0.479, 0.250, 0.458)
Al (0.021, 0.750, 0.542)
Pd (0.687, 0.750, 0.874)
Pd (0.813, 0.250, 0.126)
Pd (0.313, 0.250, 0.126)
Pd (0.187, 0.750, 0.874)
Pd (0.182, 0.980, 0.364)
Pd (0.818, 0.020, 0.636)
Pd (0.318, 0.480, 0.636)
Pd (0.682, 0.520, 0.364)

ΔH_f (0 K) in eV/atom: -0.82
Space group: Cmce
Calculated volume in Å³/f.u.: 165.3


[2]
Density functional theory data (GGA-PBE) for a relaxed structure of Pm4EuDy.

Lattice parameters (Å, degrees): 6.779 6.779 6.779 60.00 60.00 60.00
Each line ends with the local moment (μB).
Fractional positions:
Eu (0.250, 0.250, 0.250)  6.88
Pm (0.627, 0.627, 0.119)  0.01
Pm (0.627, 0.119, 0.627)  0.01
Pm (0.627, 0.627, 0.627)  0.01
Pm (0.119, 0.627, 0.627)  0.01
Dy (0.000, 0.000, 0.000)  -0.10

ΔH_f (0 K) in eV/atom: 0.24
Space group: F-43m
Calculated volume in Å³/f.u.: 220.2